[1]
The following is a DFT calculation (PBEsol) of SrPt2Rh after structural relaxation.

For the volume, the calculation gives 148.9 Å³/cell. The crystal system is monoclinic. As for the calculated total energy: -47.86 eV for the cell shown. The value obtained for the formation energy is -0.0061 eV per atom.

The space group is C2/m (No. 12) and the conventional cell measures 8.9477, 2.8605 and 5.8758 Å, with angles of 90.00, 98.20 and 90.00 degrees. Symmetry generates all atoms from Sr at (0.0000, 0.0000, 0.0000), Pt at (0.2393, 0.0000, 0.6883) and Rh at (0.0000, 0.5000, 0.5000).



[2]
The following is a DFT calculation (PBEsol) of Sr2PtRh after structural relaxation.

For the volume, the calculation gives 109.7 Å³/cell. The crystal system is tetragonal. As for the calculated total energy: -19.14 eV for the cell shown. The value obtained for the formation energy is -0.0893 eV per atom.

The space group is P4mm (No. 99) and the conventional cell measures 3.5931, 3.5931 and 8.4948 Å, with angles of 90.00, 90.00 and 90.00 degrees. Symmetry generates all atoms from Sr at (0.0000, 0.0000, 0.0000), Sr at (0.5000, 0.5000, 0.4330), Pt at (0.0000, 0.0000, 0.6657) and Rh at (0.5000, 0.5000, 0.7600).



[3]
The following is a DFT calculation (PBEsol) of Sr2PtRh after structural relaxation.

For the volume, the calculation gives 308.5 Å³/cell. The crystal system is trigonal. As for the calculated total energy: -56.15 eV for the cell shown. The value obtained for the formation energy is 0.0169 eV per atom.

The space group is R-3m (No. 166, hexagonal axes) and the conventional cell measures 3.8595, 3.8595 and 23.9188 Å, with angles of 90.00, 90.00 and 120.00 degrees. Symmetry generates all atoms from Sr at (0.0000, 0.0000, 0.2475), Pt at (0.0000, 0.0000, 0.5000) and Rh at (0.0000, 0.0000, 0.0000).



[4]
The following is a DFT calculation (PBEsol) of SrZrPtRh2 after structural relaxation.

For the volume, the calculation gives 121.5 Å³/cell. The crystal system is tetragonal. As for the calculated total energy: -29.00 eV for the cell shown. The value obtained for the formation energy is 1.0341 eV per atom.

The space group is P4/mmm (No. 123) and the conventional cell measures 4.6121, 4.6121 and 5.7103 Å, with angles of 90.00, 90.00 and 90.00 degrees. Symmetry generates all atoms from Sr at (0.0000, 0.0000, 0.0000), Zr at (0.0000, 0.0000, 0.5000), Pt at (0.5000, 0.5000, 0.0000) and Rh at (0.0000, 0.5000, 0.5000).